1.
Entry from the Alexandria database: a geometry-optimized Ba2In6SnHg structure (PBE).

Lattice parameters (Å, degrees): 7.4526 7.4526 42.1824 90.00 90.00 120.00
Space group R-3m (No. 166, hexagonal axes)
Asymmetric unit:
1 Ba 0.0000 0.0000 0.1082 [6 per cell]
2 Ba 0.0000 0.0000 0.2800 [6 per cell]
3 In 0.0590 0.5295 0.3028 [18 per cell]
4 In 0.0636 0.5318 0.8653 [18 per cell]
5 Sn 0.0000 0.0000 0.4251 [6 per cell]
6 Hg 0.0000 0.0000 0.0000 [3 per cell]
7 Hg 0.0000 0.0000 0.5000 [3 per cell]

Calculated total energy (eV per atom): -2.618
Volume (A^3/atom): 33.82
Crystal system: trigonal
ρ (Mg/m³): 6.299

2.
Entry from the Alexandria database: a geometry-optimized BaInSnHg2 structure (PBE).

Lattice parameters (Å, degrees): 4.977 5.023 12.255 90.00 90.00 90.00
Space group Imm2 (No. 44)
Asymmetric unit:
1 Ba 0.000 0.000 0.000 [2 per cell]
2 In 0.000 0.500 0.758 [2 per cell]
3 Sn 0.000 0.000 0.621 [2 per cell]
4 Hg 0.000 0.000 0.389 [2 per cell]
5 Hg 0.000 0.500 0.260 [2 per cell]

Calculated total energy (eV per atom): -2.239
Volume (A^3/atom): 30.64
Crystal system: orthorhombic
ρ (Mg/m³): 8.369

3.
Entry from the Alexandria database: a geometry-optimized Ba2In3Sn4Hg structure (PBE).

Lattice parameters (Å, degrees): 5.342 5.342 11.209 90.00 90.00 90.00
Space group P-4m2 (No. 115)
Asymmetric unit:
1 Ba 0.000 0.500 0.249 [2 per cell]
2 In 0.000 0.000 0.000 [1 per cell]
3 In 0.000 0.500 0.621 [2 per cell]
4 Sn 0.000 0.000 0.500 [1 per cell]
5 Sn 0.000 0.500 0.876 [2 per cell]
6 Sn 0.500 0.500 0.500 [1 per cell]
7 Hg 0.500 0.500 0.000 [1 per cell]

Calculated total energy (eV per atom): -3.188
Volume (A^3/atom): 31.99
Crystal system: tetragonal
ρ (Mg/m³): 6.719

4.
Entry from the Alexandria database: a geometry-optimized BaIn2SnHg structure (PBE).

Lattice parameters (Å, degrees): 5.007 5.078 12.167 90.00 90.00 90.00
Space group Imm2 (No. 44)
Asymmetric unit:
1 Ba 0.000 0.000 0.000 [2 per cell]
2 In 0.000 0.000 0.381 [2 per cell]
3 In 0.000 0.500 0.246 [2 per cell]
4 Sn 0.000 0.500 0.745 [2 per cell]
5 Hg 0.000 0.000 0.612 [2 per cell]

Calculated total energy (eV per atom): -2.722
Volume (A^3/atom): 30.93
Crystal system: orthorhombic
ρ (Mg/m³): 7.368

5.
Entry from the Alexandria database: a geometry-optimized Ba2InSn4Hg3 structure (PBE).

Lattice parameters (Å, degrees): 5.063 5.063 12.059 90.00 90.00 90.00
Space group P-4m2 (No. 115)
Asymmetric unit:
1 Ba 0.000 0.500 0.248 [2 per cell]
2 In 0.500 0.500 0.000 [1 per cell]
3 Sn 0.000 0.000 0.500 [1 per cell]
4 Sn 0.000 0.500 0.869 [2 per cell]
5 Sn 0.500 0.500 0.500 [1 per cell]
6 Hg 0.000 0.000 0.000 [1 per cell]
7 Hg 0.000 0.500 0.634 [2 per cell]

Calculated total energy (eV per atom): -2.727
Volume (A^3/atom): 30.91
Crystal system: tetragonal
ρ (Mg/m³): 7.877

6.
Entry from the Alexandria database: a geometry-optimized BaIn2SnHg2 structure (PBE).

Lattice parameters (Å, degrees): 5.1875 5.1875 7.7541 90.00 90.00 120.00
Space group P-3m1 (No. 164)
Asymmetric unit:
1 Ba 0.0000 0.0000 0.0000 [1 per cell]
2 In 0.3333 0.6667 0.6673 [2 per cell]
3 Sn 0.0000 0.0000 0.5000 [1 per cell]
4 Hg 0.3333 0.6667 0.2389 [2 per cell]

Calculated total energy (eV per atom): -2.299
Volume (A^3/atom): 30.12
Crystal system: trigonal
ρ (Mg/m³): 8.149